First-principles (GGA-PBE) data for a relaxed structure of GaTeIr, as listed in Alexandria.

Crystal system = monoclinic
Calculated total energy = -5.03 eV/atom
Energy above the lowest structure with this stoichiometry = 0.171 eV per atom
Formation energy from raw total energies = -0.015 eV/atom

Unit cell a=3.786 b=2.980 c=5.833 alpha=90.00 beta=90.89 gamma=90.00
Sites, in units of the cell vectors:
Ga: 0.000 0.000 0.000
Te: 0.494 0.000 0.468
Ir: 0.497 0.500 0.854